{
  "formula": "BaVCdO4",
  "functional": "PBE with a Hubbard U",
  "state": "optimized geometry",
  "lattice_angstrom": [[6.2756, 0.0000, 0.0000], [0.0000, 5.8402, 0.0000], [-2.7886, 0.0000, 6.8763]],
  "species": ["Ba", "Ba", "V", "V", "Cd", "Cd", "O", "O", "O", "O", "O", "O", "O", "O"],
  "frac_coords": [[0.2491, 0.2500, 0.4498], [0.7509, 0.7500, 0.5502], [0.0177, 0.2500, 0.8101], [0.9823, 0.7500, 0.1899], [0.3598, 0.7500, 0.9515], [0.6402, 0.2500, 0.0485], [0.1222, 0.2500, 0.0580], [0.1263, 0.0152, 0.7212], [0.1263, 0.4848, 0.7212], [0.2858, 0.7500, 0.3054], [0.7142, 0.2500, 0.6946], [0.8737, 0.5152, 0.2788], [0.8737, 0.9848, 0.2788], [0.8778, 0.7500, 0.9420]],
  "magmom_total_mub_per_fu": 0.00,
  "dos_at_fermi_per_ev_atom": 0.215,
  "energy_ev_per_fu": -43.698,
  "crystal_system": "monoclinic",
  "density_g_cm3": 4.81
}